Model 1:
A plane-wave DFT calculation with PBE was carried out for FeMo4 after structural relaxation.

The value obtained for the density of states at the Fermi level is 6.12 states/eV/f.u. The density comes out at 8.5 g/cm³.

It has space group Pm-3m (No. 221), with a = 4.416 Å, b = 4.416 Å, c = 4.416 Å, α = 90.00°, β = 90.00° and γ = 90.00°. The asymmetric unit holds Fe at (0.000, 0.000, 0.000), Mo at (0.000, 0.000, 0.500) and Mo at (0.500, 0.500, 0.500).

=====

Model 2:
A plane-wave DFT calculation with PBE was carried out for FeMo4 after structural relaxation.

The value obtained for the density of states at the Fermi level is 3.54 states/eV/f.u. The density comes out at 9.6 g/cm³.

It has space group I4/m (No. 87), with a = 6.937 Å, b = 6.937 Å, c = 3.151 Å, α = 90.00°, β = 90.00° and γ = 90.00°. The asymmetric unit holds Fe at (0.000, 0.000, 0.000) and Mo at (0.103, 0.299, 0.500).

=====

We find model 2 to be the most stable, with the next structure 1101 meV per atom higher.

=====

Model 1:
A plane-wave DFT calculation with PBE was carried out for Fe4Mo5 after structural relaxation.

The value obtained for the density of states at the Fermi level is 10.34 states/eV/f.u. The density comes out at 9.3 g/cm³.

It has space group P6_3/mcm (No. 193), with a = 7.5999 Å, b = 7.5999 Å, c = 5.0057 Å, α = 90.00°, β = 90.00° and γ = 120.00°. The asymmetric unit holds Fe at (0.0000, 0.0000, 0.0000), Fe at (0.0000, 0.3922, 0.2500), Mo at (0.0000, 0.2844, 0.7500) and Mo at (0.3333, 0.6667, 0.0000).

=====

Model 2:
A plane-wave DFT calculation with PBE was carried out for Fe4Mo5 after structural relaxation.

The value obtained for the density of states at the Fermi level is 6.19 states/eV/f.u. The density comes out at 9.2 g/cm³.

It has space group I4/mmm (No. 139), with a = 9.045 Å, b = 9.045 Å, c = 3.108 Å, α = 90.00°, β = 90.00° and γ = 90.00°. The asymmetric unit holds Fe at (0.000, 0.343, 0.000), Mo at (0.000, 0.000, 0.000) and Mo at (0.169, 0.169, 0.500).

=====

We find model 2 to be the most stable, with the next structure 140 meV per atom higher.